[1]
Computed, not measured: a relaxed SbSO4 crystal at the PBE-GGA level of DFT.

POSCAR file:
```
SbSO4
1.0
-1.182 -4.040 4.878
5.369 -0.298 -3.549
0.464 5.732 2.906
O Sb S
8 2 2
direct
0.649 0.500 0.851
0.548 0.899 0.649
0.202 0.351 0.851
0.101 0.452 0.351
0.250 0.899 0.351
0.101 0.750 0.649
0.500 0.351 0.149
0.649 0.798 0.149
0.750 0.250 0.500
0.000 0.000 0.000
0.250 0.750 0.500
0.500 0.500 0.000
```

Summary:
For the total energy, the calculation gives -5.62 eV per atom. As for the crystal system: tetragonal.


[2]
Computed, not measured: a relaxed AgIrS2N crystal at the PBE-GGA level of DFT.

POSCAR file:
```
AgIrS2N
1.0
-4.705 1.092 -0.265
-1.049 -3.857 2.724
0.320 2.141 3.155
Ag N S Ir
1 1 2 1
direct
0.000 0.000 0.000
0.000 0.000 0.500
0.000 0.500 0.000
0.500 0.000 0.000
0.500 0.500 0.500
```

Summary:
For the total energy, the calculation gives -3.74 eV per atom. As for the crystal system: tetragonal.


[3]
Computed, not measured: a relaxed Li3Sm2BiS6 crystal at the PBE-GGA level of DFT.

POSCAR file:
```
Li3Sm2BiS6
1.0
6.933 -0.002 0.003
-3.467 6.003 0.003
-1.154 -1.998 6.235
S Sm Li Bi
6 2 3 1
direct
0.086 0.420 0.257
0.580 0.914 0.743
0.420 0.086 0.257
0.750 0.750 0.257
0.250 0.250 0.743
0.914 0.580 0.743
0.333 0.667 0.000
0.667 0.333 0.000
0.841 0.159 0.500
0.500 0.500 0.500
0.159 0.841 0.500
0.000 0.000 0.000
```

Summary:
For the total energy, the calculation gives -5.10 eV per atom. As for the crystal system: monoclinic.


[4]
Computed, not measured: a relaxed TmSiAg crystal at the PBE-GGA level of DFT.

POSCAR file:
```
TmSiAg
1.0
4.171 0.000 0.000
2.085 5.112 -0.222
2.085 1.029 5.483
Tm Si Ag
2 2 2
direct
0.438 0.312 0.812
0.562 0.688 0.188
0.146 0.874 0.835
0.854 0.126 0.165
0.827 0.761 0.586
0.173 0.239 0.414
```

Summary:
For the total energy, the calculation gives -4.77 eV per atom. As for the crystal system: monoclinic.


[5]
Computed, not measured: a relaxed MnAg2BiAu crystal at the PBE-GGA level of DFT.

POSCAR file:
```
MnAg2BiAu
1.0
5.375 0.000 0.000
0.000 5.445 0.000
0.000 0.000 5.375
Bi Mn Au Ag
1 1 1 2
direct
0.000 0.000 0.000
0.500 0.500 0.500
0.000 0.500 0.000
0.500 0.000 0.000
0.000 0.000 0.500
```

Summary:
The formation energy is 927 meV per atom. As for the crystal system: tetragonal.


[6]
Computed, not measured: a relaxed Sm5Ho2Cd4 crystal at the PBE-GGA level of DFT.

POSCAR file:
```
Sm5Ho2Cd4
1.0
3.617 0.000 0.000
0.000 8.894 -0.628
-1.808 -3.734 10.872
Ho Sm Cd
2 5 4
direct
0.417 0.418 0.834
0.583 0.582 0.166
0.845 0.637 0.690
0.844 0.054 0.688
0.156 0.946 0.312
0.155 0.363 0.310
0.500 0.000 0.000
0.722 0.721 0.445
0.278 0.279 0.555
0.001 0.714 0.001
0.999 0.286 0.999
```

Summary:
The formation energy is -13 meV per atom. As for the crystal system: monoclinic.